[1]
First-principles (PBE) data for a relaxed structure of HAu3I, as listed in the Alexandria database.

The structure in CIF format:
```
data_HAu3I
_chemical_formula_sum 'H1 Au3 I1'
_space_group_name_H-M_alt 'P 1'
_space_group_IT_number 1
_space_group_name_Hall 'P 1'
_cell_length_a 5.475
_cell_length_b 5.475
_cell_length_c 5.475
_cell_angle_alpha 90.00
_cell_angle_beta 90.00
_cell_angle_gamma 90.00
loop_
_atom_site_label
_atom_site_type_symbol
_atom_site_fract_x
_atom_site_fract_y
_atom_site_fract_z
Au1 Au 0.000 0.000 0.500
Au2 Au 0.500 0.000 0.000
Au3 Au 0.000 0.500 0.000
H1 H 0.500 0.500 0.500
I1 I 0.000 0.000 0.000
```

Calculated values
ΔE to the lowest computed polymorph: 0.588 eV/atom
Raw total energy: -9.00 eV/cell

***

[2]
First-principles (PBE) data for a relaxed structure of H2AuI2, as listed in the Alexandria database.

The structure in CIF format:
```
data_H2AuI2
_chemical_formula_sum 'H4 Au2 I4'
_space_group_name_H-M_alt 'P 1'
_space_group_IT_number 1
_space_group_name_Hall 'P 1'
_cell_length_a 4.523
_cell_length_b 4.523
_cell_length_c 18.566
_cell_angle_alpha 101.48
_cell_angle_beta 101.48
_cell_angle_gamma 126.50
loop_
_atom_site_label
_atom_site_type_symbol
_atom_site_fract_x
_atom_site_fract_y
_atom_site_fract_z
H1 H 0.127 0.501 0.156
H2 H 0.751 0.877 0.656
H3 H 0.123 0.249 0.344
H4 H 0.499 0.873 0.844
Au1 Au 0.312 0.688 0.000
Au2 Au 0.938 0.062 0.500
I1 I 0.623 0.001 0.155
I2 I 0.999 0.377 0.845
I3 I 0.627 0.749 0.345
I4 I 0.251 0.373 0.655
```

Calculated values
ΔE to the lowest computed polymorph: 0.000 eV/atom
Raw total energy: -22.70 eV/cell

***

[3]
First-principles (PBE) data for a relaxed structure of H2AuI, as listed in the Alexandria database.

The structure in CIF format:
```
data_H2AuI
_chemical_formula_sum 'H4 Au2 I2'
_space_group_name_H-M_alt 'P 1'
_space_group_IT_number 1
_space_group_name_Hall 'P 1'
_cell_length_a 5.742
_cell_length_b 5.742
_cell_length_c 5.753
_cell_angle_alpha 60.06
_cell_angle_beta 60.06
_cell_angle_gamma 90.00
loop_
_atom_site_label
_atom_site_type_symbol
_atom_site_fract_x
_atom_site_fract_y
_atom_site_fract_z
Au1 Au 0.000 0.000 0.000
Au2 Au 0.750 0.250 0.500
I1 I 0.250 0.750 0.500
I2 I 0.500 0.500 0.000
H1 H 0.875 0.126 0.750
H2 H 0.375 0.124 0.750
H3 H 0.876 0.125 0.250
H4 H 0.874 0.625 0.250
```

Calculated values
ΔE to the lowest computed polymorph: 0.391 eV/atom
Raw total energy: -19.69 eV/cell

***

[4]
First-principles (PBE) data for a relaxed structure of H2AuI5, as listed in the Alexandria database.

The structure in CIF format:
```
data_H2AuI5
_chemical_formula_sum 'H2 Au1 I5'
_space_group_name_H-M_alt 'P 1'
_space_group_IT_number 1
_space_group_name_Hall 'P 1'
_cell_length_a 16.406
_cell_length_b 4.907
_cell_length_c 14.621
_cell_angle_alpha 32.73
_cell_angle_beta 36.18
_cell_angle_gamma 32.76
loop_
_atom_site_label
_atom_site_type_symbol
_atom_site_fract_x
_atom_site_fract_y
_atom_site_fract_z
Au1 Au 0.942 0.810 0.187
H1 H 0.188 0.563 0.617
H2 H 0.757 0.323 0.631
I1 I 0.135 0.619 0.931
I2 I 0.448 0.074 0.902
I3 I 0.741 0.038 0.436
I4 I 0.255 0.021 0.435
I5 I 0.757 0.550 0.860
```

Calculated values
Raw total energy: -17.65 eV/cell

***

[5]
First-principles (PBE) data for a relaxed structure of H2AuI, as listed in the Alexandria database.

The structure in CIF format:
```
data_H2AuI
_chemical_formula_sum 'H2 Au1 I1'
_space_group_name_H-M_alt 'P 1'
_space_group_IT_number 1
_space_group_name_Hall 'P 1'
_cell_length_a 5.126
_cell_length_b 4.676
_cell_length_c 4.719
_cell_angle_alpha 120.31
_cell_angle_beta 89.99
_cell_angle_gamma 89.96
loop_
_atom_site_label
_atom_site_type_symbol
_atom_site_fract_x
_atom_site_fract_y
_atom_site_fract_z
H1 H 0.613 0.543 0.645
H2 H 0.612 0.729 0.750
Au1 Au 0.112 0.298 0.025
I1 I 0.112 0.972 0.362
```

Calculated values
ΔE to the lowest computed polymorph: 0.000 eV/atom
Raw total energy: -11.41 eV/cell

***

[6]
First-principles (PBE) data for a relaxed structure of H12AuI6, as listed in the Alexandria database.

The structure in CIF format:
```
data_H12AuI6
_chemical_formula_sum 'H12 Au1 I6'
_space_group_name_H-M_alt 'P 1'
_space_group_IT_number 1
_space_group_name_Hall 'P 1'
_cell_length_a 10.190
_cell_length_b 10.190
_cell_length_c 10.190
_cell_angle_alpha 117.70
_cell_angle_beta 117.70
_cell_angle_gamma 117.70
loop_
_atom_site_label
_atom_site_type_symbol
_atom_site_fract_x
_atom_site_fract_y
_atom_site_fract_z
H1 H 0.847 0.650 0.681
H2 H 0.650 0.681 0.847
H3 H 0.580 0.805 0.537
H4 H 0.537 0.580 0.805
H5 H 0.319 0.153 0.350
H6 H 0.463 0.420 0.195
H7 H 0.805 0.537 0.580
H8 H 0.195 0.463 0.420
H9 H 0.153 0.350 0.319
H10 H 0.420 0.195 0.463
H11 H 0.681 0.847 0.650
H12 H 0.350 0.319 0.153
I1 I 0.038 0.180 0.645
I2 I 0.180 0.645 0.038
I3 I 0.962 0.820 0.355
I4 I 0.355 0.962 0.820
I5 I 0.820 0.355 0.962
I6 I 0.645 0.038 0.180
Au1 Au 0.000 0.000 0.000
```

Calculated values
Raw total energy: -50.14 eV/cell